# Li6BiPd2

Crystalline Li6BiPd2 at its relaxed geometry (PBE, the Alexandria database).

Structure (extended XYZ):
```
9
Lattice="3.118 0.013 0.010 1.589 7.450 1.318 1.589 2.903 6.987" Properties=species:S:1:pos:R:3 pbc="T T T"
Li 3.155 8.413 3.821
Li 3.141 1.953 4.494
Li 3.141 4.811 0.931
Li 3.147 4.446 5.076
Li 3.147 5.920 3.239
Li 3.155 5.555 7.384
Bi 6.295 10.366 8.315
Pd 1.596 3.638 2.918
Pd 4.699 6.728 5.397
```

Output
**E**: -3.168 eV per atom
**Relative energy among the computed polymorphs**: 100.3 meV per atom